(1)
A plane-wave DFT calculation with GGA-PBE was carried out for a geometry-optimized PaBAu structure.

a = 6.3251 Å, b = 6.3251 Å, c = 6.3251 Å
α = 90.00°, β = 90.00°, γ = 90.00°
Space group F-43m (No. 216)
Asymmetric unit:
Pa (0.0000, 0.0000, 0.0000) (multiplicity 4)
B (0.0000, 0.0000, 0.5000) (multiplicity 4)
Au (0.2500, 0.2500, 0.7500) (multiplicity 4)

Summary:
size of the total moment: 0.22 μB per cell
energy above the most stable polymorph in this dataset: 579 meV/atom


(2)
A plane-wave DFT calculation with GGA-PBE was carried out for a geometry-optimized BaSrHgSbAs structure.

a = 4.7393 Å, b = 17.1411 Å, c = 8.2899 Å
α = 90.00°, β = 90.00°, γ = 90.00°
Space group Cmc2_1 (No. 36)
Asymmetric unit:
Ba (0.0000, 0.0383, 0.0000) (multiplicity 4)
Sr (0.0000, 0.2168, 0.6242) (multiplicity 4)
Hg (0.0000, 0.4035, 0.8374) (multiplicity 4)
Sb (0.0000, 0.4238, 0.2023) (multiplicity 4)
As (0.0000, 0.1783, 0.2599) (multiplicity 4)

Summary:
energy above the most stable polymorph in this dataset: 40 meV/atom


(3)
A plane-wave DFT calculation with GGA-PBE was carried out for a geometry-optimized TbGd2In3AgPt2 structure.

a = 3.7993 Å, b = 13.5734 Å, c = 7.8408 Å
α = 90.00°, β = 90.00°, γ = 90.00°
Space group Amm2 (No. 38)
Asymmetric unit:
Tb (0.0000, 0.0000, 0.0000) (multiplicity 2)
Gd (0.0000, 0.2051, 0.6152) (multiplicity 4)
In (0.5000, 0.0000, 0.6782) (multiplicity 2)
In (0.5000, 0.1337, 0.2760) (multiplicity 4)
Ag (0.0000, 0.0000, 0.4099) (multiplicity 2)
Pt (0.5000, 0.1661, 0.9104) (multiplicity 4)

Summary:
electronic total energy: -4.95 eV/atom
size of the total moment: 0.01 μB per cell


(4)
A plane-wave DFT calculation with GGA-PBE was carried out for a geometry-optimized Er3Lu3Te2Os structure.

a = 4.0276 Å, b = 14.1287 Å, c = 8.1397 Å
α = 90.00°, β = 90.00°, γ = 90.00°
Space group Amm2 (No. 38)
Asymmetric unit:
Er (0.0000, 0.0000, 0.0000) (multiplicity 2)
Er (0.0000, 0.1938, 0.5803) (multiplicity 4)
Lu (0.5000, 0.0000, 0.6232) (multiplicity 2)
Lu (0.5000, 0.1190, 0.2684) (multiplicity 4)
Te (0.5000, 0.1667, 0.8866) (multiplicity 4)
Os (0.0000, 0.0000, 0.3851) (multiplicity 2)

Summary:
size of the total moment: 0.00 μB per cell
energy above the most stable polymorph in this dataset: 0 meV/atom


(5)
A plane-wave DFT calculation with GGA-PBE was carried out for a geometry-optimized LiCuGeSeS2 structure.

a = 3.4353 Å, b = 12.3655 Å, c = 10.3660 Å
α = 90.00°, β = 90.00°, γ = 90.00°
Space group Cmcm (No. 63)
Asymmetric unit:
Li (0.0000, 0.2442, 0.2500) (multiplicity 4)
Cu (0.0000, 0.4356, 0.7500) (multiplicity 4)
Ge (0.0000, 0.0000, 0.0000) (multiplicity 4)
Se (0.0000, 0.0818, 0.7500) (multiplicity 4)
S (0.0000, 0.3650, 0.5534) (multiplicity 8)

Summary:
electronic total energy: -4.02 eV/atom


(6)
A plane-wave DFT calculation with GGA-PBE was carried out for a geometry-optimized BaLuPd structure.

a = 7.1941 Å, b = 7.1941 Å, c = 7.1941 Å
α = 90.00°, β = 90.00°, γ = 90.00°
Space group F-43m (No. 216)
Asymmetric unit:
Ba (0.0000, 0.0000, 0.0000) (multiplicity 4)
Lu (0.2500, 0.2500, 0.7500) (multiplicity 4)
Pd (0.2500, 0.2500, 0.2500) (multiplicity 4)

Summary:
size of the total moment: 0.03 μB per cell
energy above the most stable polymorph in this dataset: 795 meV/atom


(7)
A plane-wave DFT calculation with GGA-PBE was carried out for a geometry-optimized SmIn2 structure.

a = 8.5298 Å, b = 8.5298 Å, c = 8.5298 Å
α = 90.00°, β = 90.00°, γ = 90.00°
Space group Fd-3m (No. 227, origin choice 2)
Asymmetric unit:
Sm (0.1250, 0.1250, 0.1250) (multiplicity 8)
In (0.0000, 0.0000, 0.5000) (multiplicity 16)

Summary:
electronic total energy: -3.80 eV/atom
size of the total moment: 0.01 μB per cell


(8)
A plane-wave DFT calculation with GGA-PBE was carried out for a geometry-optimized DyHoAs structure.

a = 6.7877 Å, b = 6.7877 Å, c = 6.7877 Å
α = 90.00°, β = 90.00°, γ = 90.00°
Space group F-43m (No. 216)
Asymmetric unit:
Dy (0.0000, 0.0000, 0.0000) (multiplicity 4)
Ho (0.0000, 0.0000, 0.5000) (multiplicity 4)
As (0.2500, 0.2500, 0.2500) (multiplicity 4)

Summary:
size of the total moment: 0.11 μB per cell
energy above the most stable polymorph in this dataset: 0 meV/atom


(9)
A plane-wave DFT calculation with GGA-PBE was carried out for a geometry-optimized Nb2Sn2OsPd structure.

a = 6.2480 Å, b = 6.2480 Å, c = 12.4580 Å
α = 90.00°, β = 90.00°, γ = 90.00°
Space group I-42d (No. 122)
Asymmetric unit:
Nb (0.2385, 0.2500, 0.1250) (multiplicity 8)
Sn (0.2461, 0.7500, 0.6250) (multiplicity 8)
Os (0.0000, 0.0000, 0.0000) (multiplicity 4)
Pd (0.0000, 0.0000, 0.5000) (multiplicity 4)

Summary:
electronic total energy: -7.69 eV/atom
size of the total moment: 0.02 μB per cell


(10)
A plane-wave DFT calculation with GGA-PBE was carried out for a geometry-optimized Li2Sc2Ga2CuAg structure.

a = 4.4515 Å, b = 4.4515 Å, c = 6.3702 Å
α = 90.00°, β = 90.00°, γ = 90.00°
Space group P-4m2 (No. 115)
Asymmetric unit:
Li (0.0000, 0.0000, 0.0000) (multiplicity 1)
Li (0.5000, 0.5000, 0.5000) (multiplicity 1)
Sc (0.0000, 0.5000, 0.7361) (multiplicity 2)
Ga (0.0000, 0.5000, 0.2613) (multiplicity 2)
Cu (0.0000, 0.0000, 0.5000) (multiplicity 1)
Ag (0.5000, 0.5000, 0.0000) (multiplicity 1)

Summary:
electronic total energy: -4.02 eV/atom
size of the total moment: 0.00 μB per cell


(11)
A plane-wave DFT calculation with GGA-PBE was carried out for a geometry-optimized ZnCO3 structure.

a = 4.4176 Å, b = 4.4176 Å, c = 9.3537 Å
α = 90.00°, β = 90.00°, γ = 120.00°
Space group R-3m (No. 166, hexagonal axes)
Asymmetric unit:
Zn (0.0000, 0.0000, 0.0000) (multiplicity 3)
C (0.0000, 0.0000, 0.5000) (multiplicity 3)
O (0.0000, 0.5000, 0.5000) (multiplicity 9)

Summary:
electronic total energy: -3.63 eV/atom


(12)
A plane-wave DFT calculation with GGA-PBE was carried out for a geometry-optimized PrMg2 structure.

a = 3.3842 Å, b = 3.3842 Å, c = 16.6752 Å
α = 90.00°, β = 90.00°, γ = 120.00°
Space group P-3m1 (No. 164)
Asymmetric unit:
Pr (0.3333, 0.6667, 0.0975) (multiplicity 2)
Mg (0.3333, 0.6667, 0.4249) (multiplicity 2)
Mg (0.3333, 0.6667, 0.7272) (multiplicity 2)

Summary:
electronic total energy: -2.58 eV/atom
size of the total moment: 0.05 μB per cell